TaNiTe2 | PBE | relaxed

Lattice parameters (Å, degrees): 3.4385 3.4385 6.5342 90.00 90.00 90.00
Fractional coordinates of all 4 atoms:
Te  0.0000  0.0000  0.4985
Te  0.0000  0.0000  0.0015
Ta  0.5000  0.5000  0.7500
Ni  0.5000  0.5000  0.2500

ΔE_f (raw), eV per atom: 0.154
Offset from the most stable computed form, eV per atom: 0.537
ρ, Mg/m³: 10.636
Total magnetization, μB per formula unit: 0.00